[1]
Material: Co3RePt
Method: DFT, PBEsol
State: optimized geometry

As for the formation enthalpy at 0 K: 1.655 eV per atom. The value obtained for the total magnetization is 1.8 μB per cell.

It has space group Pm-3m (No. 221), with a = 4.3028 Å, b = 4.3028 Å, c = 4.3028 Å, α = 90.00°, β = 90.00° and γ = 90.00°. The inequivalent atoms are Co at (0.0000, 0.0000, 0.5000), Re at (0.0000, 0.0000, 0.0000) and Pt at (0.5000, 0.5000, 0.5000).

***

[2]
Material: CoRePt2
Method: DFT, PBEsol
State: optimized geometry

As for the formation enthalpy at 0 K: -0.086 eV per atom. The value obtained for the total magnetization is 0.9 μB per cell. The calculation puts the energy above the most stable polymorph in this dataset at 0.000 eV/atom.

It has space group P4mm (No. 99), with a = 2.6962 Å, b = 2.6962 Å, c = 7.5129 Å, α = 90.00°, β = 90.00° and γ = 90.00°. The inequivalent atoms are Co at (0.0000, 0.0000, 0.0000), Re at (0.5000, 0.5000, 0.7819), Pt at (0.0000, 0.0000, 0.5215) and Pt at (0.5000, 0.5000, 0.2418).

***

[3]
Material: CoRePt2
Method: DFT, PBEsol
State: optimized geometry

As for the formation enthalpy at 0 K: 0.240 eV per atom. The value obtained for the total magnetization is 7.2 μB per cell. The calculation puts the energy above the most stable polymorph in this dataset at 0.326 eV/atom.

It has space group F-43m (No. 216), with a = 6.0656 Å, b = 6.0656 Å, c = 6.0656 Å, α = 90.00°, β = 90.00° and γ = 90.00°. The inequivalent atoms are Co at (0.0000, 0.0000, 0.0000), Re at (0.2500, 0.2500, 0.7500), Pt at (0.0000, 0.0000, 0.5000) and Pt at (0.2500, 0.2500, 0.2500).

***

[4]
Material: CoRePt2
Method: DFT, PBEsol
State: optimized geometry

As for the formation enthalpy at 0 K: 0.225 eV per atom. The value obtained for the total magnetization is 2.6 μB per cell. The calculation puts the energy above the most stable polymorph in this dataset at 0.311 eV/atom.

It has space group P4/mmm (No. 123), with a = 4.6372 Å, b = 4.6372 Å, c = 2.6610 Å, α = 90.00°, β = 90.00° and γ = 90.00°. The inequivalent atoms are Co at (0.0000, 0.0000, 0.0000), Re at (0.5000, 0.5000, 0.0000) and Pt at (0.0000, 0.5000, 0.5000).

***

[5]
Material: CoRePt
Method: DFT, PBEsol
State: optimized geometry

As for the formation enthalpy at 0 K: -0.068 eV per atom. The value obtained for the total magnetization is 1.2 μB per cell. The calculation puts the energy above the most stable polymorph in this dataset at 0.025 eV/atom.

It has space group I4mm (No. 107), with a = 2.6808 Å, b = 2.6808 Å, c = 11.0252 Å, α = 90.00°, β = 90.00° and γ = 90.00°. The inequivalent atoms are Co at (0.0000, 0.0000, 0.0000), Re at (0.0000, 0.0000, 0.3533) and Pt at (0.0000, 0.0000, 0.6727).

***

[6]
Material: CoRePt
Method: DFT, PBEsol
State: optimized geometry

As for the formation enthalpy at 0 K: 0.488 eV per atom. The value obtained for the total magnetization is 4.6 μB per cell. The calculation puts the energy above the most stable polymorph in this dataset at 0.581 eV/atom.

It has space group F-43m (No. 216), with a = 5.6171 Å, b = 5.6171 Å, c = 5.6171 Å, α = 90.00°, β = 90.00° and γ = 90.00°. The inequivalent atoms are Co at (0.0000, 0.0000, 0.0000), Re at (0.2500, 0.2500, 0.7500) and Pt at (0.2500, 0.2500, 0.2500).

***

[7]
Material: CoRePt
Method: DFT, PBEsol
State: optimized geometry

As for the formation enthalpy at 0 K: 0.035 eV per atom. The value obtained for the total magnetization is 1.2 μB per cell. The calculation puts the energy above the most stable polymorph in this dataset at 0.128 eV/atom.

It has space group P3m1 (No. 156), with a = 2.6868 Å, b = 2.6868 Å, c = 6.4486 Å, α = 90.00°, β = 90.00° and γ = 120.00°. The inequivalent atoms are Co at (0.0000, 0.0000, 0.0000), Re at (0.6667, 0.3333, 0.3066) and Pt at (0.3333, 0.6667, 0.6655).

***

[8]
Material: CoRePt2
Method: DFT, PBEsol
State: optimized geometry

As for the formation enthalpy at 0 K: -0.019 eV per atom. The value obtained for the total magnetization is 0.8 μB per cell. The calculation puts the energy above the most stable polymorph in this dataset at 0.067 eV/atom.

It has space group I-4m2 (No. 119), with a = 3.7746 Å, b = 3.7746 Å, c = 7.6273 Å, α = 90.00°, β = 90.00° and γ = 90.00°. The inequivalent atoms are Co at (0.0000, 0.0000, 0.0000), Re at (0.0000, 0.5000, 0.7500), Pt at (0.0000, 0.0000, 0.5000) and Pt at (0.0000, 0.5000, 0.2500).

***

[9]
Material: CoPt2Rh
Method: DFT, PBEsol
State: optimized geometry

As for the formation enthalpy at 0 K: -0.003 eV per atom. The value obtained for the total magnetization is 6.8 μB per cell.

It has space group R-3m (No. 166, hexagonal axes), with a = 2.6937 Å, b = 2.6937 Å, c = 25.9942 Å, α = 90.00°, β = 90.00° and γ = 120.00°. The inequivalent atoms are Co at (0.0000, 0.0000, 0.0000), Pt at (0.0000, 0.0000, 0.2537) and Rh at (0.0000, 0.0000, 0.5000).

***

[10]
Material: Co2PtRh
Method: DFT, PBEsol
State: optimized geometry

As for the formation enthalpy at 0 K: 0.011 eV per atom. The value obtained for the total magnetization is 8.8 μB per cell.

It has space group Cmmm (No. 65), with a = 5.2683 Å, b = 7.2136 Å, c = 2.6306 Å, α = 90.00°, β = 90.00° and γ = 90.00°. The inequivalent atoms are Co at (0.2500, 0.2500, 0.0000), Pt at (0.0000, 0.0000, 0.5000) and Rh at (0.0000, 0.5000, 0.5000).

***

[11]
Material: CoPtRh
Method: DFT, PBEsol
State: optimized geometry

As for the formation enthalpy at 0 K: 0.011 eV per atom. The value obtained for the total magnetization is 4.5 μB per cell. The calculation puts the energy above the most stable polymorph in this dataset at 0.024 eV/atom.

It has space group Imm2 (No. 44), with a = 2.6600 Å, b = 3.6774 Å, c = 8.0323 Å, α = 90.00°, β = 90.00° and γ = 90.00°. The inequivalent atoms are Co at (0.0000, 0.0000, 0.0000), Pt at (0.0000, 0.0000, 0.6675) and Rh at (0.0000, 0.0000, 0.3437).

***

[12]
Material: CoPtRh
Method: DFT, PBEsol
State: optimized geometry

As for the formation enthalpy at 0 K: 0.020 eV per atom. The value obtained for the total magnetization is 2.4 μB per cell. The calculation puts the energy above the most stable polymorph in this dataset at 0.032 eV/atom.

It has space group P3m1 (No. 156), with a = 2.6669 Å, b = 2.6669 Å, c = 6.4319 Å, α = 90.00°, β = 90.00° and γ = 120.00°. The inequivalent atoms are Co at (0.0000, 0.0000, 0.0000), Pt at (0.3333, 0.6667, 0.6717) and Rh at (0.6667, 0.3333, 0.3103).

***

[13]
Material: Co2PtRh
Method: DFT, PBEsol
State: optimized geometry

As for the formation enthalpy at 0 K: 0.008 eV per atom. The value obtained for the total magnetization is 9.8 μB per cell.

It has space group Amm2 (No. 38), with a = 3.9802 Å, b = 2.6334 Å, c = 9.5845 Å, α = 90.00°, β = 90.00° and γ = 90.00°. The inequivalent atoms are Co at (0.0000, 0.0000, 0.0000), Co at (0.5000, 0.0000, 0.1282), Pt at (0.5000, 0.0000, 0.3916) and Rh at (0.0000, 0.0000, 0.7323).

***

[14]
Material: CoPt2Rh
Method: DFT, PBEsol
State: optimized geometry

As for the formation enthalpy at 0 K: -0.022 eV per atom. The value obtained for the total magnetization is 5.2 μB per cell.

It has space group I4/mmm (No. 139), with a = 3.7881 Å, b = 3.7881 Å, c = 7.5700 Å, α = 90.00°, β = 90.00° and γ = 90.00°. The inequivalent atoms are Co at (0.0000, 0.0000, 0.0000), Pt at (0.0000, 0.5000, 0.2500) and Rh at (0.0000, 0.0000, 0.5000).

***

[15]
Material: Co2PtRh
Method: DFT, PBEsol
State: optimized geometry

As for the formation enthalpy at 0 K: 0.043 eV per atom. The value obtained for the total magnetization is 13.5 μB per cell.

It has space group R-3m (No. 166, hexagonal axes), with a = 2.6365 Å, b = 2.6365 Å, c = 25.2464 Å, α = 90.00°, β = 90.00° and γ = 120.00°. The inequivalent atoms are Co at (0.0000, 0.0000, 0.2484), Pt at (0.0000, 0.0000, 0.0000) and Rh at (0.0000, 0.0000, 0.5000).

***

[16]
Material: Co2PtRh
Method: DFT, PBEsol
State: optimized geometry

As for the formation enthalpy at 0 K: 0.018 eV per atom. The value obtained for the total magnetization is 4.1 μB per cell.

It has space group P4mm (No. 99), with a = 2.6421 Å, b = 2.6421 Å, c = 7.1382 Å, α = 90.00°, β = 90.00° and γ = 90.00°. The inequivalent atoms are Co at (0.0000, 0.0000, 0.0000), Co at (0.5000, 0.5000, 0.2176), Pt at (0.0000, 0.0000, 0.4733) and Rh at (0.5000, 0.5000, 0.7566).

***

[17]
Material: Co2PtRh
Method: DFT, PBEsol
State: optimized geometry

As for the formation enthalpy at 0 K: 0.246 eV per atom. The value obtained for the total magnetization is 18.6 μB per cell.

It has space group F-43m (No. 216), with a = 5.9071 Å, b = 5.9071 Å, c = 5.9071 Å, α = 90.00°, β = 90.00° and γ = 90.00°. The inequivalent atoms are Co at (0.0000, 0.0000, 0.0000), Co at (0.2500, 0.2500, 0.2500), Pt at (0.0000, 0.0000, 0.5000) and Rh at (0.2500, 0.2500, 0.7500).

***

[18]
Material: Co2PtRh
Method: DFT, PBEsol
State: optimized geometry

As for the formation enthalpy at 0 K: 0.013 eV per atom. The value obtained for the total magnetization is 8.6 μB per cell.

It has space group I-4m2 (No. 119), with a = 3.6772 Å, b = 3.6772 Å, c = 7.3984 Å, α = 90.00°, β = 90.00° and γ = 90.00°. The inequivalent atoms are Co at (0.0000, 0.0000, 0.0000), Co at (0.0000, 0.5000, 0.2500), Pt at (0.0000, 0.0000, 0.5000) and Rh at (0.0000, 0.5000, 0.7500).

***

[19]
Material: Co2PtRh
Method: DFT, PBEsol
State: optimized geometry

As for the formation enthalpy at 0 K: 0.020 eV per atom. The value obtained for the total magnetization is 8.9 μB per cell.

It has space group C2/m (No. 12), with a = 8.5398 Å, b = 2.6364 Å, c = 4.5605 Å, α = 90.00°, β = 100.32° and γ = 90.00°. The inequivalent atoms are Co at (0.2491, 0.0000, 0.2407), Pt at (0.0000, 0.0000, 0.5000) and Rh at (0.0000, 0.5000, 0.0000).

***

[20]
Material: CoPt2Rh
Method: DFT, PBEsol
State: optimized geometry

As for the formation enthalpy at 0 K: -0.019 eV per atom. The value obtained for the total magnetization is 5.4 μB per cell.

It has space group Cm (No. 8), with a = 8.9037 Å, b = 2.6834 Å, c = 4.6339 Å, α = 90.00°, β = 100.44° and γ = 90.00°. The inequivalent atoms are Co at (0.0000, 0.0000, 0.0000), Pt at (0.2535, 0.0000, 0.7588), Pt at (0.4966, 0.0000, 0.4916) and Rh at (0.2423, 0.5000, 0.2445).

***

[21]
Material: CoPt2Rh
Method: DFT, PBEsol
State: optimized geometry

As for the formation enthalpy at 0 K: -0.046 eV per atom. The value obtained for the total magnetization is 5.7 μB per cell.

It has space group Cmmm (No. 65), with a = 5.3507 Å, b = 7.5817 Å, c = 2.6861 Å, α = 90.00°, β = 90.00° and γ = 90.00°. The inequivalent atoms are Co at (0.0000, 0.0000, 0.0000), Pt at (0.2500, 0.2500, 0.5000) and Rh at (0.0000, 0.5000, 0.0000).

***

[22]
Material: CoPt2Rh
Method: DFT, PBEsol
State: optimized geometry

As for the formation enthalpy at 0 K: 0.014 eV per atom. The value obtained for the total magnetization is 5.9 μB per cell.

It has space group C2/m (No. 12), with a = 8.8825 Å, b = 2.6917 Å, c = 4.6508 Å, α = 90.00°, β = 100.43° and γ = 90.00°. The inequivalent atoms are Co at (0.0000, 0.0000, 0.0000), Pt at (0.2465, 0.5000, 0.2462) and Rh at (0.0000, 0.5000, 0.5000).

***

[23]
Material: Co2PtRh
Method: DFT, PBEsol
State: optimized geometry

As for the formation enthalpy at 0 K: 0.007 eV per atom. The value obtained for the total magnetization is 4.4 μB per cell.

It has space group Pmmm (No. 47), with a = 2.6314 Å, b = 3.6048 Å, c = 5.2709 Å, α = 90.00°, β = 90.00° and γ = 90.00°. The inequivalent atoms are Co at (0.0000, 0.0000, 0.2407), Pt at (0.5000, 0.5000, 0.5000) and Rh at (0.5000, 0.5000, 0.0000).

***

[24]
Material: CoPt2Rh
Method: DFT, PBEsol
State: optimized geometry

As for the formation enthalpy at 0 K: 0.005 eV per atom. The value obtained for the total magnetization is 7.6 μB per cell.

It has space group R3m (No. 160, hexagonal axes), with a = 2.6843 Å, b = 2.6843 Å, c = 26.2690 Å, α = 90.00°, β = 90.00° and γ = 120.00°. The inequivalent atoms are Co at (0.0000, 0.0000, 0.0000), Pt at (0.0000, 0.0000, 0.5038), Pt at (0.0000, 0.0000, 0.7461) and Rh at (0.0000, 0.0000, 0.2577).

***

[25]
Material: Co2PtRh
Method: DFT, PBEsol
State: optimized geometry

As for the formation enthalpy at 0 K: 0.022 eV per atom. The value obtained for the total magnetization is 4.4 μB per cell.

It has space group Pmm2 (No. 25), with a = 2.6306 Å, b = 3.6256 Å, c = 5.2527 Å, α = 90.00°, β = 90.00° and γ = 90.00°. The inequivalent atoms are Co at (0.0000, 0.0000, 0.0000), Co at (0.5000, 0.5000, 0.2318), Pt at (0.0000, 0.0000, 0.4810) and Rh at (0.5000, 0.5000, 0.7652).

***

[26]
Material: CoPt2Rh
Method: DFT, PBEsol
State: optimized geometry

As for the formation enthalpy at 0 K: -0.002 eV per atom. The value obtained for the total magnetization is 2.5 μB per cell.

It has space group Pmm2 (No. 25), with a = 2.6895 Å, b = 3.7515 Å, c = 5.3908 Å, α = 90.00°, β = 90.00° and γ = 90.00°. The inequivalent atoms are Co at (0.0000, 0.0000, 0.0000), Pt at (0.0000, 0.0000, 0.5121), Pt at (0.5000, 0.5000, 0.2424) and Rh at (0.5000, 0.5000, 0.7642).

***

[27]
Material: CoPt2Rh
Method: DFT, PBEsol
State: optimized geometry

As for the formation enthalpy at 0 K: -0.020 eV per atom. The value obtained for the total magnetization is 2.5 μB per cell.

It has space group Pmmm (No. 47), with a = 2.6847 Å, b = 3.7659 Å, c = 5.3696 Å, α = 90.00°, β = 90.00° and γ = 90.00°. The inequivalent atoms are Co at (0.0000, 0.0000, 0.0000), Pt at (0.5000, 0.5000, 0.2437) and Rh at (0.0000, 0.0000, 0.5000).

***

[28]
Material: Co2PtRh
Method: DFT, PBEsol
State: optimized geometry

As for the formation enthalpy at 0 K: 0.013 eV per atom. The value obtained for the total magnetization is 8.8 μB per cell.

It has space group Cm (No. 8), with a = 8.6733 Å, b = 2.6356 Å, c = 4.4694 Å, α = 90.00°, β = 101.74° and γ = 90.00°. The inequivalent atoms are Co at (0.0000, 0.0000, 0.0000), Co at (0.2376, 0.5000, 0.2508), Pt at (0.2474, 0.0000, 0.7638) and Rh at (0.4880, 0.0000, 0.4765).

***

[29]
Material: CoPt4Rh
Method: DFT, PBEsol
State: optimized geometry

As for the formation enthalpy at 0 K: 0.471 eV per atom. The value obtained for the total magnetization is 15.8 μB per cell.

It has space group F-43m (No. 216), with a = 7.2219 Å, b = 7.2219 Å, c = 7.2219 Å, α = 90.00°, β = 90.00° and γ = 90.00°. The inequivalent atoms are Co at (0.0000, 0.0000, 0.0000), Pt at (0.1250, 0.1250, 0.3750) and Rh at (0.2500, 0.2500, 0.7500).

***

[30]
Material: Co2PtRh
Method: DFT, PBEsol
State: optimized geometry

As for the formation enthalpy at 0 K: -0.001 eV per atom. The value obtained for the total magnetization is 9.1 μB per cell.

It has space group I4/mmm (No. 139), with a = 3.7326 Å, b = 3.7326 Å, c = 7.1827 Å, α = 90.00°, β = 90.00° and γ = 90.00°. The inequivalent atoms are Co at (0.0000, 0.5000, 0.2500), Pt at (0.0000, 0.0000, 0.0000) and Rh at (0.0000, 0.0000, 0.5000).

***

[31]
Material: CoPt2Rh
Method: DFT, PBEsol
State: optimized geometry

As for the formation enthalpy at 0 K: -0.015 eV per atom. The value obtained for the total magnetization is 2.4 μB per cell.

It has space group P4mm (No. 99), with a = 2.6905 Å, b = 2.6905 Å, c = 7.5038 Å, α = 90.00°, β = 90.00° and γ = 90.00°. The inequivalent atoms are Co at (0.0000, 0.0000, 0.0000), Pt at (0.0000, 0.0000, 0.5127), Pt at (0.5000, 0.5000, 0.2365) and Rh at (0.5000, 0.5000, 0.7749).